Here is a geometry-optimized Tm4GaTe structure from Alexandria. Energies are from PBE.

a = 5.8434 Å, b = 8.4634 Å, c = 7.6380 Å
α = 90.00°, β = 107.79°, γ = 90.00°
With the nearest neighbours (Å) after each atom.
Element x y z (fractional)
Tm: 0.0336 0.0513 0.2389  2 Ga 2.85-3.00, 2 Te 3.07-3.08
Tm: 0.0336 0.4487 0.2389  2 Ga 2.85-3.00, 2 Te 3.07-3.08
Tm: 0.4087 0.2500 0.0137  2 Ga 2.87-3.11, 1 Te 3.20
Tm: 0.4355 0.7500 0.4830  2 Te 2.94-2.99, 1 Ga 3.06
Tm: 0.5645 0.2500 0.5170  2 Te 2.94-2.99, 1 Ga 3.06
Tm: 0.5913 0.7500 0.9863  2 Ga 2.87-3.11, 1 Te 3.20
Tm: 0.9664 0.5513 0.7611  2 Ga 2.85-3.00, 2 Te 3.07-3.08
Tm: 0.9664 0.9487 0.7611  2 Ga 2.85-3.00, 2 Te 3.07-3.08
Ga: 0.1468 0.7500 0.0742  7 Tm 2.85-3.11
Ga: 0.8532 0.2500 0.9258  7 Tm 2.85-3.11
Te: 0.0975 0.2500 0.5890  7 Tm 2.94-3.20
Te: 0.9025 0.7500 0.4110  7 Tm 2.94-3.20

Properties
- calculated density (g/cm³) = 8.06
- N(E_F) (states/eV/cell) = 10.87
- calculated total energy (eV for the cell shown) = -52.28
- formation energy without anion corrections (meV per atom) = -348
- crystal system = monoclinic
- symmetry = P2_1/m, No. 11